1.
Density functional theory data (GGA-PBE) for a relaxed structure of TbSc2CdN.

Lattice parameters (Å, degrees): 4.823 4.514 4.514 90.00 90.00 90.00
Atoms (fractional coordinates):
Tb: 0.500 0.000 0.000
Sc: 0.000 0.000 0.500
Sc: 0.000 0.500 0.000
Cd: 0.500 0.500 0.500
N: 0.000 0.000 0.000

## Properties
VASP energy (Ry/atom): -0.457
SG: P4/mmm
Calculated volume (Å³ per cell): 98
Uncorrected formation energy (eV per atom): -0.910
DOS(E_F) (states/eV/atom): 0.88

***

2.
Density functional theory data (GGA-PBE) for a relaxed structure of Sc2TiCdN.

Lattice parameters (Å, degrees): 4.452 4.452 4.231 90.00 90.00 90.00
Atoms (fractional coordinates):
Sc: 0.000 0.500 0.000
Sc: 0.500 0.000 0.000
N: 0.000 0.000 0.000
Ti: 0.000 0.000 0.500
Cd: 0.500 0.500 0.500

## Properties
VASP energy (Ry/atom): -0.505
SG: P4/mmm
Calculated volume (Å³ per cell): 84
Uncorrected formation energy (eV per atom): -0.914
DOS(E_F) (states/eV/atom): 0.46

***

3.
Density functional theory data (GGA-PBE) for a relaxed structure of ScTi2CdN.

Lattice parameters (Å, degrees): 4.209 4.209 4.432 90.00 90.00 90.00
Atoms (fractional coordinates):
Sc: 0.000 0.000 0.500
N: 0.000 0.000 0.000
Ti: 0.000 0.500 0.000
Ti: 0.500 0.000 0.000
Cd: 0.500 0.500 0.500

## Properties
VASP energy (Ry/atom): -0.524
SG: P4/mmm
Calculated volume (Å³ per cell): 79
Uncorrected formation energy (eV per atom): -0.851
DOS(E_F) (states/eV/atom): 0.70

***

4.
Density functional theory data (GGA-PBE) for a relaxed structure of Tm2ScCdN.

Lattice parameters (Å, degrees): 4.467 4.760 4.760 90.00 90.00 90.00
Atoms (fractional coordinates):
Tm: 0.000 0.000 0.500
Tm: 0.000 0.500 0.000
Sc: 0.500 0.000 0.000
Cd: 0.500 0.500 0.500
N: 0.000 0.000 0.000

## Properties
VASP energy (Ry/atom): -0.428
SG: P4/mmm
Calculated volume (Å³ per cell): 101
Uncorrected formation energy (eV per atom): -0.918
DOS(E_F) (states/eV/atom): 0.72

***

5.
Density functional theory data (GGA-PBE) for a relaxed structure of Sc2VCdN.

Lattice parameters (Å, degrees): 4.526 4.526 3.983 90.00 90.00 90.00
Atoms (fractional coordinates):
Sc: 0.000 0.500 0.000
Sc: 0.500 0.000 0.000
N: 0.000 0.000 0.000
V: 0.000 0.000 0.500
Cd: 0.500 0.500 0.500

## Properties
VASP energy (Ry/atom): -0.514
SG: P4/mmm
Calculated volume (Å³ per cell): 82
Uncorrected formation energy (eV per atom): -0.782
DOS(E_F) (states/eV/atom): 0.59

***

6.
Density functional theory data (GGA-PBE) for a relaxed structure of ScZnCd2N.

Lattice parameters (Å, degrees): 6.035 3.897 6.035 90.00 90.00 90.00
Atoms (fractional coordinates):
Sc: 0.000 0.000 0.000
Zn: 0.500 0.500 0.500
N: 0.000 0.500 0.000
Cd: 0.000 0.000 0.500
Cd: 0.500 0.000 0.000

## Properties
VASP energy (Ry/atom): -0.232
SG: P4/mmm
Calculated volume (Å³ per cell): 142
Uncorrected formation energy (eV per atom): 0.390
DOS(E_F) (states/eV/atom): 0.28

***

7.
Density functional theory data (GGA-PBE) for a relaxed structure of Zr2ScCdN.

Lattice parameters (Å, degrees): 4.521 4.521 4.471 90.00 90.00 90.00
Atoms (fractional coordinates):
Sc: 0.000 0.000 0.500
N: 0.000 0.000 0.000
Zr: 0.000 0.500 0.000
Zr: 0.500 0.000 0.000
Cd: 0.500 0.500 0.500

## Properties
VASP energy (Ry/atom): -0.544
SG: P4/mmm
Calculated volume (Å³ per cell): 91
Uncorrected formation energy (eV per atom): -0.866
DOS(E_F) (states/eV/atom): 0.52

***

8.
Density functional theory data (GGA-PBE) for a relaxed structure of CdSe3N.

Lattice parameters (Å, degrees): 5.327 5.327 5.327 90.00 90.00 90.00
Atoms (fractional coordinates):
N: 0.500 0.500 0.500
Se: 0.000 0.500 0.000
Se: 0.000 0.000 0.500
Se: 0.500 0.000 0.000
Cd: 0.000 0.000 0.000

## Properties
VASP energy (Ry/atom): -0.171
SG: Pm-3m
Calculated volume (Å³ per cell): 151
Uncorrected formation energy (eV per atom): 1.606
Offset from the most stable computed form (meV per atom): 853
DOS(E_F) (states/eV/atom): 1.15